{"formula": "CaP3Au", "functional": "GGA-PBE", "state": "optimized geometry", "volume_a3_per_atom": 23.511, "polymorph_energy_mev_per_atom": 0, "sg": "No. 221", "cell": [[4.8987, 0.0000, 0.0000], [0.0000, 4.8987, 0.0000], [0.0000, 0.0000, 4.8987]], "species": ["Ca", "P", "P", "P", "Au"], "frac_coords": [[0.0000, 0.0000, 0.0000], [0.0000, 0.5000, 0.5000], [0.5000, 0.0000, 0.5000], [0.5000, 0.5000, 0.0000], [0.5000, 0.5000, 0.5000]]}

{"formula": "CaPAu2", "functional": "GGA-PBE", "state": "optimized geometry", "final_energy_ev_per_cell": -15.8, "volume_a3_per_atom": 22.378, "sg": "No. 10", "cell": [[3.8758, 0.0000, 0.0000], [0.0000, 4.2920, 0.0000], [-0.0152, 0.0000, 5.3810]], "species": ["Ca", "P", "Au", "Au"], "frac_coords": [[0.0000, 0.0000, 0.0000], [0.5000, 0.0000, 0.5000], [0.5005, 0.5000, 0.2475], [0.4995, 0.5000, 0.7525]]}

{"formula": "CaP2Au", "functional": "GGA-PBE", "state": "optimized geometry", "volume_a3_per_atom": 20.725, "polymorph_energy_mev_per_atom": 194, "sg": "No. 71", "cell": [[-2.1414, 2.9152, 3.3199], [2.1414, -2.9152, 3.3199], [2.1414, 2.9152, -3.3199]], "species": ["Ca", "P", "P", "Au"], "frac_coords": [[0.0000, 0.0000, 0.0000], [0.3161, 0.8161, 0.5000], [0.6839, 0.1839, 0.5000], [0.5000, 0.5000, 0.0000]]}

{"formula": "CaP2Au", "functional": "GGA-PBE", "state": "optimized geometry", "volume_a3_per_atom": 25.028, "polymorph_energy_mev_per_atom": 111, "sg": "No. 12", "cell": [[5.1501, -2.0518, 0.0000], [5.1501, 2.0518, 0.0000], [-2.4297, 0.0000, 4.7371]], "species": ["Ca", "P", "P", "Au"], "frac_coords": [[0.0000, 0.0000, 0.0000], [0.3054, 0.3054, 0.0314], [0.6946, 0.6946, 0.9686], [0.5000, 0.5000, 0.5000]]}

{"formula": "CaP2Au", "functional": "GGA-PBE", "state": "optimized geometry", "volume_a3_per_atom": 20.540, "polymorph_energy_mev_per_atom": 339, "sg": "No. 160", "cell": [[2.2122, 1.2772, 4.8465], [-2.2122, 1.2772, 4.8465], [0.0000, -2.5544, 4.8465]], "species": ["Ca", "P", "P", "Au"], "frac_coords": [[0.0000, 0.0000, 0.0000], [0.2080, 0.2080, 0.2080], [0.5009, 0.5009, 0.5009], [0.7844, 0.7844, 0.7844]]}

{"formula": "CaPAu4", "functional": "GGA-PBE", "state": "optimized geometry", "final_energy_ev_per_cell": -21.7, "volume_a3_per_atom": 20.398, "sg": "No. 216", "cell": [[0.0000, 3.9406, 3.9406], [3.9406, 0.0000, 3.9406], [3.9406, 3.9406, 0.0000]], "species": ["Ca", "P", "Au", "Au", "Au", "Au"], "frac_coords": [[0.0000, 0.0000, 0.0000], [0.7500, 0.7500, 0.7500], [0.3749, 0.3749, 0.3749], [0.3749, 0.3749, 0.8753], [0.3749, 0.8753, 0.3749], [0.8753, 0.3749, 0.3749]]}

{"formula": "CaP2Au", "functional": "GGA-PBE", "state": "optimized geometry", "volume_a3_per_atom": 18.703, "polymorph_energy_mev_per_atom": 366, "sg": "No. 65", "cell": [[3.5208, -3.5358, 0.0000], [3.5208, 3.5358, 0.0000], [0.0000, 0.0000, 3.0048]], "species": ["Ca", "P", "P", "Au"], "frac_coords": [[0.0000, 0.0000, 0.0000], [0.0000, 0.5000, 0.5000], [0.5000, 0.0000, 0.5000], [0.5000, 0.5000, 0.0000]]}

{"formula": "Ca6PAu5", "functional": "GGA-PBE", "state": "optimized geometry", "final_energy_ev_per_cell": -43.8, "volume_a3_per_atom": 23.726, "sg": "No. 65", "cell": [[2.5293, -7.7365, 0.0000], [2.5293, 7.7365, 0.0000], [0.0000, 0.0000, 7.2749]], "species": ["Ca", "Ca", "Ca", "Ca", "Ca", "Ca", "P", "Au", "Au", "Au", "Au", "Au"], "frac_coords": [[0.0000, 0.0000, 0.2398], [0.0000, 0.0000, 0.7602], [0.3380, 0.6620, 0.2493], [0.3380, 0.6620, 0.7507], [0.6620, 0.3380, 0.2493], [0.6620, 0.3380, 0.7507], [0.5000, 0.5000, 0.0000], [0.1667, 0.8333, 0.5000], [0.1778, 0.8222, 0.0000], [0.5000, 0.5000, 0.5000], [0.8222, 0.1778, 0.0000], [0.8333, 0.1667, 0.5000]]}

{"formula": "CaPAu2", "functional": "GGA-PBE", "state": "optimized geometry", "final_energy_ev_per_cell": -15.1, "volume_a3_per_atom": 21.484, "sg": "No. 99", "cell": [[3.6096, 0.0000, 0.0000], [0.0000, 3.6096, 0.0000], [0.0000, 0.0000, 6.5957]], "species": ["Ca", "P", "Au", "Au"], "frac_coords": [[0.0000, 0.0000, 0.0000], [0.5000, 0.5000, 0.3646], [0.0000, 0.0000, 0.4435], [0.5000, 0.5000, 0.7509]]}

{"formula": "CaP2Au", "functional": "GGA-PBE", "state": "optimized geometry", "volume_a3_per_atom": 20.530, "polymorph_energy_mev_per_atom": 188, "sg": "No. 8", "cell": [[5.0063, -1.7116, 0.0000], [5.0063, 1.7116, 0.0000], [-2.9588, 0.0000, 4.7918]], "species": ["Ca", "P", "P", "Au"], "frac_coords": [[0.0000, 0.0000, 0.0000], [0.2355, 0.2355, 0.8565], [0.6373, 0.6373, 0.5343], [0.8027, 0.8027, 0.3143]]}

{"formula": "CaPAu2", "functional": "GGA-PBE", "state": "optimized geometry", "final_energy_ev_per_cell": -15.0, "volume_a3_per_atom": 21.324, "sg": "No. 25", "cell": [[3.3053, 0.0000, 0.0000], [0.0000, 4.5849, 0.0000], [0.0000, 0.0000, 5.6286]], "species": ["Ca", "P", "Au", "Au"], "frac_coords": [[0.0000, 0.0000, 0.0000], [0.5000, 0.5000, 0.0043], [0.0000, 0.0000, 0.5005], [0.5000, 0.5000, 0.4993]]}

{"formula": "Ca4PAu", "functional": "GGA-PBE", "state": "optimized geometry", "final_energy_ev_per_cell": -14.8, "volume_a3_per_atom": 29.959, "sg": "No. 216", "cell": [[0.0000, 4.4793, 4.4793], [4.4793, 0.0000, 4.4793], [4.4793, 4.4793, 0.0000]], "species": ["Ca", "Ca", "Ca", "Ca", "P", "Au"], "frac_coords": [[0.1241, 0.1241, 0.1241], [0.1241, 0.1241, 0.6276], [0.1241, 0.6276, 0.1241], [0.6276, 0.1241, 0.1241], [0.7500, 0.7500, 0.7500], [0.5000, 0.5000, 0.5000]]}

{"formula": "Ca2P2Au", "functional": "GGA-PBE", "state": "optimized geometry", "volume_a3_per_atom": 22.173, "polymorph_energy_mev_per_atom": 0, "sg": "No. 2", "cell": [[4.2131, 0.0000, 0.0000], [2.1018, 5.5519, 0.0000], [2.1048, 1.6567, 9.4796]], "species": ["Ca", "Ca", "Ca", "Ca", "P", "P", "P", "P", "Au", "Au"], "frac_coords": [[0.0943, 0.2228, 0.0901], [0.2972, 0.2493, 0.6563], [0.7028, 0.7507, 0.3437], [0.9057, 0.7772, 0.9099], [0.0522, 0.8215, 0.5729], [0.3313, 0.7013, 0.1344], [0.6687, 0.2987, 0.8656], [0.9478, 0.1785, 0.4271], [0.4294, 0.3263, 0.3164], [0.5706, 0.6737, 0.6836]]}

{"formula": "Ca2PAu", "functional": "GGA-PBE", "state": "optimized geometry", "final_energy_ev_per_cell": -15.4, "volume_a3_per_atom": 23.180, "sg": "No. 119", "cell": [[-2.0975, 2.0975, 5.2687], [2.0975, -2.0975, 5.2687], [2.0975, 2.0975, -5.2687]], "species": ["Ca", "Ca", "P", "Au"], "frac_coords": [[0.0000, 0.0000, 0.0000], [0.7500, 0.2500, 0.5000], [0.2500, 0.7500, 0.5000], [0.5000, 0.5000, 0.0000]]}

{"formula": "Ca2PAu3", "functional": "GGA-PBE", "state": "optimized geometry", "final_energy_ev_per_cell": -23.7, "volume_a3_per_atom": 22.562, "sg": "No. 25", "cell": [[3.9032, 0.0000, 0.0000], [0.0000, 4.3883, 0.0000], [0.0000, 0.0000, 7.9032]], "species": ["Ca", "Ca", "P", "Au", "Au", "Au"], "frac_coords": [[0.0000, 0.0000, 0.0000], [0.0000, 0.5000, 0.4869], [0.5000, 0.0000, 0.3142], [0.5000, 0.0000, 0.6264], [0.5000, 0.5000, 0.1822], [0.5000, 0.5000, 0.8338]]}

{"formula": "Ca2PAu", "functional": "GGA-PBE", "state": "optimized geometry", "final_energy_ev_per_cell": -16.3, "volume_a3_per_atom": 27.343, "sg": "No. 160", "cell": [[2.1084, 1.2173, 7.1027], [-2.1084, 1.2173, 7.1027], [0.0000, -2.4345, 7.1027]], "species": ["Ca", "Ca", "P", "Au"], "frac_coords": [[0.0000, 0.0000, 0.0000], [0.1971, 0.1971, 0.1971], [0.5975, 0.5975, 0.5975], [0.4325, 0.4325, 0.4325]]}

{"formula": "CaP2Au", "functional": "GGA-PBE", "state": "optimized geometry", "volume_a3_per_atom": 21.875, "polymorph_energy_mev_per_atom": 144, "sg": "No. 6", "cell": [[4.2792, 0.0000, 0.0000], [0.0000, 4.1244, 0.0000], [-1.1789, 0.0000, 4.9577]], "species": ["Ca", "P", "P", "Au"], "frac_coords": [[0.0000, 0.0000, 0.0000], [0.3864, 0.0000, 0.5895], [0.4749, 0.5000, 0.8338], [0.5201, 0.5000, 0.3130]]}

{"formula": "CaP2Au", "functional": "GGA-PBE", "state": "optimized geometry", "volume_a3_per_atom": 22.270, "polymorph_energy_mev_per_atom": 177, "sg": "No. 122", "cell": [[-2.2653, 2.2653, 8.6796], [2.2653, -2.2653, 8.6796], [2.2653, 2.2653, -8.6796]], "species": ["Ca", "Ca", "P", "P", "P", "P", "Au", "Au"], "frac_coords": [[0.0000, 0.0000, 0.0000], [0.7500, 0.2500, 0.5000], [0.2627, 0.6250, 0.1377], [0.3750, 0.5127, 0.6377], [0.4873, 0.1250, 0.8623], [0.8750, 0.7373, 0.3623], [0.2500, 0.7500, 0.5000], [0.5000, 0.5000, 0.0000]]}

{"formula": "CaP2Au", "functional": "GGA-PBE", "state": "optimized geometry", "volume_a3_per_atom": 19.116, "polymorph_energy_mev_per_atom": 496, "sg": "No. 225", "cell": [[0.0000, 3.3688, 3.3688], [3.3688, 0.0000, 3.3688], [3.3688, 3.3688, 0.0000]], "species": ["Ca", "P", "P", "Au"], "frac_coords": [[0.0000, 0.0000, 0.0000], [0.2500, 0.2500, 0.2500], [0.7500, 0.7500, 0.7500], [0.5000, 0.5000, 0.5000]]}

{"formula": "Ca2PAu", "functional": "GGA-PBE", "state": "optimized geometry", "final_energy_ev_per_cell": -29.9, "volume_a3_per_atom": 35.812, "sg": "No. 122", "cell": [[-3.1701, 3.1701, 7.1273], [3.1701, -3.1701, 7.1273], [3.1701, 3.1701, -7.1273]], "species": ["Ca", "Ca", "Ca", "Ca", "P", "P", "Au", "Au"], "frac_coords": [[0.0833, 0.6250, 0.9583], [0.3750, 0.3333, 0.4583], [0.6667, 0.1250, 0.0417], [0.8750, 0.9167, 0.5417], [0.0000, 0.0000, 0.0000], [0.7500, 0.2500, 0.5000], [0.2500, 0.7500, 0.5000], [0.5000, 0.5000, 0.0000]]}